This record from Alexandria describes Pm3NdTm12 after structural relaxation. The functional is GGA-PBE.

Lattice parameters (Å, degrees): 4.9907 4.9907 19.9795 90.00 90.00 90.00
Fractional positions:
Tm  0.5000  0.0000  0.1255
Tm  0.5000  0.0000  0.6249
Tm  0.0000  0.5000  0.3751
Tm  0.0000  0.5000  0.1255
Tm  0.5000  0.5000  0.0000
Tm  0.5000  0.5000  0.7497
Tm  0.5000  0.5000  0.5000
Tm  0.5000  0.0000  0.3751
Tm  0.5000  0.0000  0.8745
Tm  0.0000  0.5000  0.8745
Tm  0.0000  0.5000  0.6249
Tm  0.5000  0.5000  0.2503
Nd  0.0000  0.0000  0.0000
Pm  0.0000  0.0000  0.2502
Pm  0.0000  0.0000  0.5000
Pm  0.0000  0.0000  0.7498

Values from the calculation:
density	8.7	g/cm3
DFT formation energy	0.027	eV/atom
crystal system	tetragonal